[1]
A plane-wave DFT calculation with PBE was carried out for Dy2HoEr7 after structural relaxation.

```
data_Dy2HoEr7
_chemical_formula_sum 'Dy4 Ho2 Er14'
_space_group_name_H-M_alt 'C m m m'
_space_group_IT_number 65
_space_group_name_Hall '-C 2 2'
_cell_length_a 8.604
_cell_length_b 17.045
_cell_length_c 5.114
_cell_angle_alpha 90.00
_cell_angle_beta 90.00
_cell_angle_gamma 90.00
loop_
_atom_site_label
_atom_site_type_symbol
_atom_site_fract_x
_atom_site_fract_y
_atom_site_fract_z
Dy1 Dy 0.000 0.201 0.000
Ho1 Ho 0.000 0.500 0.500
Er1 Er 0.000 0.000 0.000
Er2 Er 0.000 0.304 0.500
Er3 Er 0.179 0.392 0.000
```

VASP energy: -3.87 eV/atom
Polymorph energy (0 for the lowest one): 684 meV/atom
Total moment: 0.000 μB/atom
Formation energy from the elements: 0.707 eV/atom
Density: 7.35 g cm⁻³

[2]
A plane-wave DFT calculation with PBE was carried out for DyHo10Er4 after structural relaxation.

```
data_DyHo10Er4
_chemical_formula_sum 'Dy2 Ho20 Er8'
_space_group_name_H-M_alt 'I 4/m'
_space_group_IT_number 87
_space_group_name_Hall '-I 4'
_cell_length_a 12.020
_cell_length_b 12.020
_cell_length_c 7.597
_cell_angle_alpha 90.00
_cell_angle_beta 90.00
_cell_angle_gamma 90.00
loop_
_atom_site_label
_atom_site_type_symbol
_atom_site_fract_x
_atom_site_fract_y
_atom_site_fract_z
Dy1 Dy 0.000 0.000 0.000
Ho1 Ho 0.000 0.500 0.250
Ho2 Ho 0.100 0.799 0.250
Er1 Er 0.100 0.300 0.500
```

VASP energy: -3.85 eV/atom
Total moment: 0.000 μB/atom
Formation energy from the elements: 0.725 eV/atom
Density: 7.51 g cm⁻³

[3]
A plane-wave DFT calculation with PBE was carried out for Dy3Ho6Er after structural relaxation.

```
data_Dy3Ho6Er
_chemical_formula_sum 'Dy12 Ho24 Er4'
_space_group_name_H-M_alt 'C m c 21'
_space_group_IT_number 36
_cell_length_a 9.529
_cell_length_b 20.798
_cell_length_c 6.308
_cell_angle_alpha 90.00
_cell_angle_beta 90.00
_cell_angle_gamma 90.00
loop_
_space_group_symop_operation_xyz
'x,y,z'
'-x,-y,z+1/2'
'-x,y,z'
'x,-y,z+1/2'
'x+1/2,y+1/2,z'
'-x+1/2,-y+1/2,z+1/2'
'-x+1/2,y+1/2,z'
'x+1/2,-y+1/2,z+1/2'
loop_
_atom_site_label
_atom_site_type_symbol
_atom_site_fract_x
_atom_site_fract_y
_atom_site_fract_z
Dy1 Dy 0.000 0.080 0.000
Dy2 Dy 0.169 0.373 0.397
Ho1 Ho 0.000 0.199 0.696
Ho2 Ho 0.000 0.485 0.728
Ho3 Ho 0.176 0.219 0.236
Ho4 Ho 0.182 0.061 0.475
Er1 Er 0.000 0.339 0.923
```

VASP energy: -4.46 eV/atom
Polymorph energy (0 for the lowest one): 0 meV/atom
Total moment: 0.000 μB/atom
Formation energy from the elements: 0.123 eV/atom
Density: 8.74 g cm⁻³

[4]
A plane-wave DFT calculation with PBE was carried out for Dy7Ho4Er after structural relaxation.

```
data_Dy7Ho4Er
_chemical_formula_sum 'Dy7 Ho4 Er1'
_space_group_name_H-M_alt 'P -1'
_space_group_IT_number 2
_cell_length_a 6.441
_cell_length_b 6.740
_cell_length_c 8.987
_cell_angle_alpha 86.16
_cell_angle_beta 76.75
_cell_angle_gamma 82.16
loop_
_space_group_symop_operation_xyz
'x,y,z'
'-x,-y,-z'
loop_
_atom_site_label
_atom_site_type_symbol
_atom_site_fract_x
_atom_site_fract_y
_atom_site_fract_z
Dy1 Dy 0.000 0.000 0.000
Dy2 Dy 0.192 0.605 0.387
Dy3 Dy 0.314 0.201 0.641
Dy4 Dy 0.486 0.749 0.052
Ho1 Ho 0.160 0.115 0.311
Ho2 Ho 0.359 0.694 0.716
Er1 Er 0.000 0.500 0.000
```

VASP energy: -4.50 eV/atom
Polymorph energy (0 for the lowest one): 0 meV/atom
Total moment: 0.000 μB/atom
Formation energy from the elements: 0.090 eV/atom
Density: 8.68 g cm⁻³

[5]
A plane-wave DFT calculation with PBE was carried out for DyHoEr2 after structural relaxation.

```
data_DyHoEr2
_chemical_formula_sum 'Dy3 Ho3 Er6'
_space_group_name_H-M_alt 'R 3 m'
_space_group_IT_number 160
_space_group_name_Hall 'R 3 -2"'
_cell_length_a 3.5409
_cell_length_b 3.5409
_cell_length_c 33.9335
_cell_angle_alpha 90.00
_cell_angle_beta 90.00
_cell_angle_gamma 120.00
loop_
_atom_site_label
_atom_site_type_symbol
_atom_site_fract_x
_atom_site_fract_y
_atom_site_fract_z
Dy1 Dy 0.0000 0.0000 0.0000
Ho1 Ho 0.0000 0.0000 0.8340
Er1 Er 0.0000 0.0000 0.4173
Er2 Er 0.0000 0.0000 0.5831
```

VASP energy: -4.57 eV/atom
Polymorph energy (0 for the lowest one): 8 meV/atom
Total moment: 0.000 μB/atom
Formation energy from the elements: 0.008 eV/atom
Density: 8.95 g cm⁻³

[6]
A plane-wave DFT calculation with PBE was carried out for DyHo3Er6 after structural relaxation.

```
data_DyHo3Er6
_chemical_formula_sum 'Dy4 Ho12 Er24'
_space_group_name_H-M_alt 'C m c 21'
_space_group_IT_number 36
_cell_length_a 9.509
_cell_length_b 20.699
_cell_length_c 6.287
_cell_angle_alpha 90.00
_cell_angle_beta 90.00
_cell_angle_gamma 90.00
loop_
_space_group_symop_operation_xyz
'x,y,z'
'-x,-y,z+1/2'
'-x,y,z'
'x,-y,z+1/2'
'x+1/2,y+1/2,z'
'-x+1/2,-y+1/2,z+1/2'
'-x+1/2,y+1/2,z'
'x+1/2,-y+1/2,z+1/2'
loop_
_atom_site_label
_atom_site_type_symbol
_atom_site_fract_x
_atom_site_fract_y
_atom_site_fract_z
Dy1 Dy 0.000 0.161 0.000
Ho1 Ho 0.000 0.302 0.773
Ho2 Ho 0.176 0.281 0.314
Er1 Er 0.000 0.015 0.805
Er2 Er 0.000 0.420 0.079
Er3 Er 0.169 0.126 0.475
Er4 Er 0.182 0.440 0.554
```

VASP energy: -4.45 eV/atom
Polymorph energy (0 for the lowest one): 0 meV/atom
Total moment: 0.000 μB/atom
Formation energy from the elements: 0.126 eV/atom
Density: 8.91 g cm⁻³

[7]
A plane-wave DFT calculation with PBE was carried out for Dy3Ho2Er3 after structural relaxation.

```
data_Dy3Ho2Er3
_chemical_formula_sum 'Dy9 Ho6 Er9'
_space_group_name_H-M_alt 'R 3 2'
_space_group_IT_number 155
_space_group_name_Hall 'R 3 2"'
_cell_length_a 9.4483
_cell_length_b 9.4483
_cell_length_c 9.8951
_cell_angle_alpha 90.00
_cell_angle_beta 90.00
_cell_angle_gamma 120.00
loop_
_atom_site_label
_atom_site_type_symbol
_atom_site_fract_x
_atom_site_fract_y
_atom_site_fract_z
Dy1 Dy 0.0000 0.7113 0.0000
Ho1 Ho 0.0000 0.0000 0.3056
Er1 Er 0.0000 0.3113 0.5000
```

VASP energy: -4.44 eV/atom
Polymorph energy (0 for the lowest one): 121 meV/atom
Total moment: 0.000 μB/atom
Formation energy from the elements: 0.142 eV/atom
Density: 8.59 g cm⁻³

[8]
A plane-wave DFT calculation with PBE was carried out for Dy19Ho4Er6 after structural relaxation.

```
data_Dy19Ho4Er6
_chemical_formula_sum 'Dy38 Ho8 Er12'
_space_group_name_H-M_alt 'I 2 3'
_space_group_IT_number 197
_space_group_name_Hall 'I 2 2 3'
_cell_length_a 12.366
_cell_length_b 12.366
_cell_length_c 12.366
_cell_angle_alpha 90.00
_cell_angle_beta 90.00
_cell_angle_gamma 90.00
loop_
_atom_site_label
_atom_site_type_symbol
_atom_site_fract_x
_atom_site_fract_y
_atom_site_fract_z
Dy1 Dy 0.000 0.000 0.000
Dy2 Dy 0.000 0.000 0.262
Dy3 Dy 0.063 0.263 0.277
Ho1 Ho 0.179 0.179 0.821
Er1 Er 0.000 0.373 0.500
```

VASP energy: -4.20 eV/atom
Total moment: 0.000 μB/atom
Formation energy from the elements: 0.392 eV/atom
Density: 8.34 g cm⁻³

[9]
A plane-wave DFT calculation with PBE was carried out for Dy3Ho3Er8 after structural relaxation.

```
data_Dy3Ho3Er8
_chemical_formula_sum 'Dy6 Ho6 Er16'
_space_group_name_H-M_alt 'I m m m'
_space_group_IT_number 71
_space_group_name_Hall '-I 2 2'
_cell_length_a 5.547
_cell_length_b 10.663
_cell_length_c 14.738
_cell_angle_alpha 90.00
_cell_angle_beta 90.00
_cell_angle_gamma 90.00
loop_
_atom_site_label
_atom_site_type_symbol
_atom_site_fract_x
_atom_site_fract_y
_atom_site_fract_z
Dy1 Dy 0.000 0.000 0.000
Dy2 Dy 0.000 0.500 0.319
Ho1 Ho 0.000 0.000 0.500
Ho2 Ho 0.000 0.297 0.500
Er1 Er 0.000 0.159 0.278
Er2 Er 0.000 0.342 0.104
```

VASP energy: -4.46 eV/atom
Total moment: 0.000 μB/atom
Formation energy from the elements: 0.118 eV/atom
Density: 8.84 g cm⁻³